## one
This record from the Alexandria database describes crystalline LaSiAsSe2 at its relaxed geometry. The functional is PBE.

Geometry as extended XYZ:
```
5
Lattice="-0.002 3.442 -3.544 -4.839 0.715 0.697 0.976 3.395 3.296" Properties=species:S:1:pos:R:3 pbc="T T T"
Se -2.419 0.357 0.348
Se -0.001 1.721 -1.772
La -1.932 3.776 0.224
As 0.488 1.698 1.648
Si 0.000 0.000 0.000
```

The volume is 117.94 Å³/f.u. The calculation puts the total magnetization at 0.000 μB/f.u.

---

## two
This record from the Alexandria database describes crystalline LaSiAsSe2 at its relaxed geometry. The functional is PBE.

Geometry as extended XYZ:
```
5
Lattice="5.024 0.000 0.000 0.000 5.731 0.000 0.000 0.000 5.024" Properties=species:S:1:pos:R:3 pbc="T T T"
Si 2.512 2.866 2.512
La 0.000 2.866 0.000
Se 0.000 0.000 2.512
Se 2.512 0.000 0.000
As 0.000 0.000 0.000
```

The volume is 144.66 Å³/f.u. The calculation puts the total magnetization at 0.000 μB/f.u.

---

Most stable to least stable: one, two

---

## one
This record from the Alexandria database describes crystalline LaSiAs2Se at its relaxed geometry. The functional is PBE.

Geometry as extended XYZ:
```
5
Lattice="-3.451 3.501 2.806 2.300 -1.659 4.899 3.829 4.101 -0.409" Properties=species:S:1:pos:R:3 pbc="T T T"
Si 1.339 2.972 3.648
La 0.000 0.000 0.000
As -1.726 1.751 1.403
As 1.150 -0.829 2.450
Se 1.914 2.051 -0.204
```

The volume is 180.27 Å³/f.u. The calculation puts the total magnetization at 0.001 μB/f.u.

---

## two
This record from the Alexandria database describes crystalline LaSiAs2Se at its relaxed geometry. The functional is PBE.

Geometry as extended XYZ:
```
5
Lattice="4.822 0.000 0.000 0.000 4.822 0.000 0.000 0.000 5.030" Properties=species:S:1:pos:R:3 pbc="T T T"
Se 0.000 0.000 2.515
As 2.411 0.000 0.000
As 0.000 2.411 0.000
La 2.411 2.411 2.515
Si 0.000 0.000 0.000
```

The volume is 116.94 Å³/f.u. The calculation puts the total magnetization at 0.000 μB/f.u.

---

Most stable to least stable: two, one

---

## one
This record from the Alexandria database describes crystalline LaTaAsSe2 at its relaxed geometry. The functional is PBE.

Geometry as extended XYZ:
```
5
Lattice="5.009 0.000 0.000 0.000 5.009 0.000 0.000 0.000 5.063" Properties=species:S:1:pos:R:3 pbc="T T T"
Se 0.000 2.505 0.000
Se 2.505 0.000 0.000
As 0.000 0.000 2.531
Ta 0.000 0.000 0.000
La 2.505 2.505 2.531
```

The volume is 127.04 Å³/f.u. The calculation puts the total magnetization at 0.000 μB/f.u.

---

## two
This record from the Alexandria database describes crystalline LaTaAsSe2 at its relaxed geometry. The functional is PBE.

Geometry as extended XYZ:
```
5
Lattice="-1.343 -3.490 4.128 4.388 1.780 2.933 -3.145 3.944 2.312" Properties=species:S:1:pos:R:3 pbc="T T T"
Se 2.194 0.890 1.466
Se -0.671 -1.745 2.064
As -1.573 1.972 1.156
La 0.000 0.000 0.000
Ta -0.050 1.117 4.686
```

The volume is 172.19 Å³/f.u. The calculation puts the total magnetization at 1.765 μB/f.u.

---

Most stable to least stable: one, two

---

## one
This record from the Alexandria database describes crystalline LaTeAsSe2 at its relaxed geometry. The functional is PBE.

Geometry as extended XYZ:
```
5
Lattice="-3.841 2.981 -2.156 0.615 -2.552 -4.626 -3.585 -3.548 1.481" Properties=species:S:1:pos:R:3 pbc="T T T"
Se -1.920 1.491 -1.078
Se 0.308 -1.276 -2.313
Te 0.000 0.000 0.000
La -3.405 -1.559 -2.650
As -1.793 -1.774 0.740
```

The volume is 148.70 Å³/f.u. The calculation puts the total magnetization at 0.000 μB/f.u.

---

## two
This record from the Alexandria database describes crystalline LaTeAsSe2 at its relaxed geometry. The functional is PBE.

Geometry as extended XYZ:
```
5
Lattice="-3.434 3.897 -2.191 -4.415 -2.523 2.432 0.737 3.365 4.828" Properties=species:S:1:pos:R:3 pbc="T T T"
Se -2.208 -1.261 1.216
Se -1.717 1.948 -1.096
As 0.369 1.682 2.414
La 0.000 0.000 0.000
Te -3.556 2.369 2.535
```

The volume is 188.46 Å³/f.u. The calculation puts the total magnetization at 0.003 μB/f.u.

---

Most stable to least stable: one, two